A relaxed structure of Li3FeP2O8. Source: Alexandria, functional PBE+U.

Summary:
**Calculated total energy**: -6.606 eV per atom
**Volume**: 10.01 Å³ per atom

Structure (POSCAR):
```
Li3FeP2O8
1.0
4.114 -2.718 0.000
4.114 2.718 0.000
-0.056 0.000 6.271
Li Fe P O
3 1 2 8
Direct
0.000 0.000 0.000
0.327 0.327 0.771
0.673 0.673 0.229
0.000 0.000 0.500
0.350 0.350 0.263
0.650 0.650 0.737
0.237 0.697 0.270
0.241 0.241 0.465
0.247 0.247 0.062
0.303 0.763 0.730
0.697 0.237 0.270
0.753 0.753 0.938
0.759 0.759 0.535
0.763 0.303 0.730
```